Here is SiBrO2 at its PBEsol-relaxed geometry from the Alexandria database. Energies are from meta-GGA SCAN.

Results
Its raw formation energy is -1.926 eV/atom. The total DFT energy (no corrections) is -99.28 eV for the cell shown.

```
SiBrO2
1.0
0.0000 3.7726 3.7726
3.7726 0.0000 3.7726
3.7726 3.7726 0.0000
Si Br O
2 2 4
Direct
0.1250 0.1250 0.1250
0.8750 0.8750 0.8750
0.3750 0.3750 0.3750
0.6250 0.6250 0.6250
0.0000 0.0000 0.0000
0.0000 0.0000 0.5000
0.0000 0.5000 0.0000
0.5000 0.0000 0.0000
```

Here is La2NiO4 at its PBEsol-relaxed geometry from the Alexandria database. Energies are from meta-GGA SCAN.

Results
Its raw formation energy is -3.003 eV/atom. The total DFT energy (no corrections) is -593.31 eV for the cell shown.

```
La2NiO4
1.0
5.3227 0.0000 0.0000
0.0000 5.3227 0.0000
0.0000 0.0000 12.7618
La Ni O
8 4 16
Direct
0.0047 0.0047 0.1369
0.0047 0.4953 0.6369
0.4953 0.0047 0.6369
0.4953 0.4953 0.1369
0.5047 0.5047 0.8631
0.5047 0.9953 0.3631
0.9953 0.5047 0.3631
0.9953 0.9953 0.8631
0.0000 0.0000 0.5000
0.0000 0.5000 0.0000
0.5000 0.0000 0.0000
0.5000 0.5000 0.5000
0.0189 0.0189 0.6802
0.0189 0.4811 0.1802
0.2500 0.2500 0.4921
0.2500 0.2500 0.9921
0.2500 0.7500 0.0000
0.2500 0.7500 0.5000
0.4811 0.0189 0.1802
0.4811 0.4811 0.6802
0.5189 0.5189 0.3198
0.5189 0.9811 0.8198
0.7500 0.2500 0.0000
0.7500 0.2500 0.5000
0.7500 0.7500 0.0079
0.7500 0.7500 0.5079
0.9811 0.5189 0.8198
0.9811 0.9811 0.3198
```